ScTlAg: optimized geometry, PBE-GGA.

Structure (POSCAR):
```
ScTlAg
1.0
-1.6552 2.2172 4.4780
1.6552 -2.2172 4.4780
1.6552 2.2172 -4.4780
Sc Tl Ag
1 1 1
Direct
0.0000 0.0000 0.0000 Sc
0.6699 0.6699 0.0000 Tl
0.3391 0.3391 0.0000 Ag
```

Summary:
ΔH_f (0 K) (meV per atom): -76
DOS at the Fermi energy (states/eV/cell): 2.69
Crystal system: orthorhombic



TmSc2Tl2Ag2: optimized geometry, PBE-GGA.

Structure (POSCAR):
```
TmSc2Tl2Ag2
1.0
2.3779 1.3729 8.2934
-2.3779 1.3729 8.2934
0.0000 -2.7458 8.2934
Tm Sc Tl Ag
1 2 2 2
Direct
0.0000 0.0000 0.0000 Tm
0.1356 0.1356 0.1356 Sc
0.8644 0.8644 0.8644 Sc
0.2645 0.2645 0.2645 Tl
0.7355 0.7355 0.7355 Tl
0.4401 0.4401 0.4401 Ag
0.5599 0.5599 0.5599 Ag
```

Summary:
ΔH_f (0 K) (meV per atom): -136
DOS at the Fermi energy (states/eV/cell): 6.66
Crystal system: trigonal